A plane-wave DFT calculation with PBE was carried out for a relaxed structure of LaTm2Zn.

Calculated values
VASP energy = -3.94 eV per atom
energy relative to the lowest polymorph listed for this composition = 0.00 eV/f.u.
volume = 111 Å³/cell
density = 8.075 g/cm³

Cell lengths 3.5511, 3.5511, 8.8416 Å; angles 90.00, 90.00, 90.00 degrees
Closest atoms and distances in Å follow each position.
Space group P4/mmm (No. 123)
One atom of each set of equivalent atoms:
La  0.0000  0.0000  0.0000 [1 per cell]  4 La 3.55, 8 Tm 3.68
Tm  0.5000  0.5000  0.3047 [2 per cell]  4 Zn 3.05
Zn  0.0000  0.0000  0.5000 [1 per cell]  8 Tm 3.05

A plane-wave DFT calculation with PBE was carried out for a relaxed structure of LaTm2Zn9.

Calculated values
VASP energy = -2.44 eV per atom
volume = 670 Å³/cell
density = 7.922 g/cm³

Cell lengths 5.4839, 5.4839, 25.7253 Å; angles 90.00, 90.00, 120.00 degrees
Closest atoms and distances in Å follow each position.
Space group R-3m (No. 166, hexagonal axes)
One atom of each set of equivalent atoms:
La  0.0000  0.0000  0.0000 [3 per cell]  18 Zn 3.17-3.50
Tm  0.0000  0.0000  0.1424 [6 per cell]  12 Zn 3.12-3.23, 3 Tm 3.40
Zn  0.0000  0.0000  0.3354 [6 per cell]  6 Zn 2.67-2.71
Zn  0.0000  0.0000  0.5000 [3 per cell]  6 Zn 2.67
Zn  0.0078  0.5039  0.9157 [18 per cell]  7 Zn 2.67-2.81

A plane-wave DFT calculation with PBE was carried out for a relaxed structure of LaTmZn.

Calculated values
VASP energy = -3.71 eV per atom
energy relative to the lowest polymorph listed for this composition = 0.13 eV/f.u.
volume = 252 Å³/cell
density = 7.372 g/cm³

Cell lengths 7.8292, 7.8292, 4.7517 Å; angles 90.00, 90.00, 120.00 degrees
Closest atoms and distances in Å follow each position.
Space group P-62m (No. 189)
One atom of each set of equivalent atoms:
La  0.0000  0.6092  0.0000 [3 per cell]  5 Zn 3.06-3.39
Tm  0.0000  0.2649  0.5000 [3 per cell]  4 Zn 2.92-3.15
Zn  0.0000  0.0000  0.0000 [1 per cell]  3 La 3.06, 6 Tm 3.15
Zn  0.3333  0.6667  0.5000 [2 per cell]  3 Tm 2.92

A plane-wave DFT calculation with PBE was carried out for a relaxed structure of La2TmZn4.

Calculated values
VASP energy = -2.88 eV per atom
volume = 566 Å³/cell
density = 6.237 g/cm³

Cell lengths 5.0679, 5.0679, 25.4368 Å; angles 90.00, 90.00, 120.00 degrees
Closest atoms and distances in Å follow each position.
Space group R-3m (No. 166, hexagonal axes)
One atom of each set of equivalent atoms:
La  0.0000  0.0000  0.2457 [6 per cell]  8 Zn 3.06-3.20
Tm  0.0000  0.0000  0.0000 [3 per cell]  8 Zn 3.07-3.13
Zn  0.0000  0.0000  0.1232 [6 per cell]  4 La 3.06-3.11, 1 Tm 3.13
Zn  0.0000  0.0000  0.3705 [6 per cell]  3 Tm 3.07, 4 La 3.17-3.20

A plane-wave DFT calculation with PBE was carried out for a relaxed structure of La3Tm4Zn.

Calculated values
VASP energy = -4.30 eV per atom
volume = 245 Å³/cell
density = 7.843 g/cm³

Cell lengths 3.5970, 3.5970, 18.9480 Å; angles 90.00, 90.00, 90.00 degrees
Closest atoms and distances in Å follow each position.
Space group P4/mmm (No. 123)
One atom of each set of equivalent atoms:
La  0.0000  0.0000  0.0000 [1 per cell]  4 La 3.60, 8 Tm 3.60
La  0.0000  0.0000  0.2710 [2 per cell]  4 La 3.60, 8 Tm 3.62-3.65
Tm  0.5000  0.5000  0.1348 [2 per cell]  4 Tm 3.60, 8 La 3.60-3.62
Tm  0.5000  0.5000  0.4095 [2 per cell]  4 Zn 3.07, 1 Tm 3.43
Zn  0.0000  0.0000  0.5000 [1 per cell]  8 Tm 3.07

A plane-wave DFT calculation with PBE was carried out for a relaxed structure of La2TmZn.

Calculated values
VASP energy = -3.91 eV per atom
energy relative to the lowest polymorph listed for this composition = 0.59 eV/f.u.
volume = 375 Å³/cell
density = 6.809 g/cm³

Cell lengths 3.6856, 3.6856, 31.8528 Å; angles 90.00, 90.00, 120.00 degrees
Closest atoms and distances in Å follow each position.
Space group R3m (No. 160, hexagonal axes)
One atom of each set of equivalent atoms:
La  0.0000  0.0000  0.0000 [3 per cell]  3 Zn 3.20
La  0.0000  0.0000  0.1831 [3 per cell]  3 Zn 3.21
Tm  0.0000  0.0000  0.4243 [3 per cell]  6 La 3.59-3.63, 6 Tm 3.69
Zn  0.0000  0.0000  0.5917 [3 per cell]  6 La 3.20-3.21

A plane-wave DFT calculation with PBE was carried out for a relaxed structure of LaTm4Zn5.

Calculated values
VASP energy = -3.26 eV per atom
volume = 227 Å³/cell
density = 8.350 g/cm³

Cell lengths 3.5501, 3.5501, 18.0143 Å; angles 90.00, 90.00, 90.00 degrees
Closest atoms and distances in Å follow each position.
Space group P4/mmm (No. 123)
One atom of each set of equivalent atoms:
La  0.0000  0.0000  0.0000 [1 per cell]  8 Zn 3.28, 4 La 3.55
Tm  0.0000  0.0000  0.2092 [2 per cell]  8 Zn 3.01-3.05
Tm  0.0000  0.0000  0.4035 [2 per cell]  8 Zn 3.05-3.07
Zn  0.5000  0.5000  0.1169 [2 per cell]  4 Tm 3.01, 4 La 3.28
Zn  0.5000  0.5000  0.3055 [2 per cell]  8 Tm 3.05-3.07, 1 Zn 3.40
Zn  0.5000  0.5000  0.5000 [1 per cell]  8 Tm 3.05

A plane-wave DFT calculation with PBE was carried out for a relaxed structure of LaTm2Zn2.

Calculated values
VASP energy = -3.44 eV per atom
volume = 262 Å³/cell
density = 7.692 g/cm³

Cell lengths 3.6655, 20.1359, 3.5543 Å; angles 90.00, 90.00, 90.00 degrees
Closest atoms and distances in Å follow each position.
Space group Cmmm (No. 65)
One atom of each set of equivalent atoms:
La  0.0000  0.0000  0.0000 [2 per cell]  8 Zn 3.26, 2 La 3.55, 2 Tm 3.58
Tm  0.0000  0.1779  0.0000 [4 per cell]  4 Zn 2.99
Zn  0.0000  0.3991  0.5000 [4 per cell]  4 Tm 2.99, 4 La 3.26